Record 1
DFT (GGA-PBE) results for LiSm4Te6 after structural relaxation.

Summary:
**Uncorrected formation energy**: -1296 meV per atom

Cell lengths 8.691, 8.691, 8.691 Å; angles 88.95, 88.95, 91.05 degrees
Fractional positions:
Sm 0.750 0.358 0.858
Sm 0.358 0.142 0.250
Sm 0.142 0.750 0.642
Sm 0.642 0.858 0.750
Sm 0.750 0.750 0.250
Sm 0.250 0.642 0.142
Sm 0.250 0.250 0.750
Sm 0.858 0.250 0.358
Te 0.182 0.417 0.441
Te 0.318 0.941 0.917
Te 0.417 0.559 0.818
Te 0.917 0.682 0.941
Te 0.682 0.059 0.083
Te 0.441 0.818 0.417
Te 0.059 0.917 0.318
Te 0.083 0.318 0.059
Te 0.559 0.182 0.583
Te 0.941 0.083 0.682
Te 0.818 0.583 0.559
Te 0.583 0.441 0.182
Li 0.000 0.000 0.000
Li 0.500 0.500 0.500

***

Record 2
DFT (GGA-PBE) results for MnAg2Pd after structural relaxation.

Summary:
**ΔH_f (0 K)**: 89 meV per atom

Cell lengths 4.552, 4.552, 4.552 Å; angles 60.00, 60.00, 60.00 degrees
Fractional positions:
Pd 0.500 0.500 0.500
Mn 0.000 0.000 0.000
Ag 0.250 0.250 0.250
Ag 0.750 0.750 0.750

***

Record 3
DFT (GGA-PBE) results for NdHoGaPt after structural relaxation.

Summary:
**ΔH_f (0 K)**: -890 meV per atom

Cell lengths 3.886, 4.354, 5.975 Å; angles 90.00, 108.98, 90.00 degrees
Fractional positions:
Ga 0.570 0.500 0.140
Pt 0.419 0.000 0.839
Ho 0.862 0.500 0.725
Nd 0.148 0.000 0.296

***

Record 4
DFT (GGA-PBE) results for NbOsF3 after structural relaxation.

Summary:
**Uncorrected formation energy**: 155 meV per atom

Cell lengths 4.256, 4.256, 4.256 Å; angles 90.00, 90.00, 90.00 degrees
Fractional positions:
F 0.500 0.000 0.000
F 0.000 0.000 0.500
F 0.000 0.500 0.000
Nb 0.500 0.500 0.500
Os 0.000 0.000 0.000

***

Record 5
DFT (GGA-PBE) results for TbSnIr after structural relaxation.

Summary:
**ΔH_f (0 K)**: -839 meV per atom

Cell lengths 3.968, 7.502, 7.502 Å; angles 120.00, 90.00, 90.00 degrees
Fractional positions:
Tb 0.500 0.000 0.593
Tb 0.500 0.407 0.407
Tb 0.500 0.593 0.000
Ir 0.000 0.667 0.333
Ir 0.500 0.000 0.000
Ir 0.000 0.333 0.667
Sn 0.000 0.741 0.741
Sn 0.000 0.000 0.259
Sn 0.000 0.259 0.000

***

Record 6
DFT (GGA-PBE) results for NaMgRe2 after structural relaxation.

Summary:
**ΔH_f (0 K)**: 1520 meV per atom

Cell lengths 7.867, 7.867, 6.071 Å; angles 49.62, 49.62, 90.00 degrees
Fractional positions:
Re 0.663 0.125 0.250
Re 0.375 0.337 0.750
Re 0.875 0.913 0.750
Re 0.087 0.625 0.250
Mg 0.000 0.000 0.000
Mg 0.750 0.250 0.500
Na 0.250 0.750 0.500
Na 0.500 0.500 0.000

***

Record 7
DFT (GGA-PBE) results for PuClO after structural relaxation.

Summary:
**Uncorrected formation energy**: -2621 meV per atom

Cell lengths 3.906, 3.906, 10.437 Å; angles 87.44, 87.44, 59.99 degrees
Fractional positions:
Cl 0.475 0.475 0.811
Cl 0.525 0.525 0.189
Pu 0.156 0.156 0.641
Pu 0.844 0.844 0.359
O 0.173 0.173 0.417
O 0.827 0.827 0.583

***

Record 8
DFT (GGA-PBE) results for NaY6Se8 after structural relaxation.

Summary:
**Uncorrected formation energy**: -1684 meV per atom

Cell lengths 4.162, 11.082, 11.082 Å; angles 120.00, 90.00, 90.00 degrees
Fractional positions:
Y 0.250 0.481 0.342
Y 0.750 0.519 0.658
Y 0.750 0.342 0.862
Y 0.750 0.138 0.481
Y 0.250 0.862 0.519
Y 0.250 0.658 0.138
Se 0.251 0.360 0.046
Se 0.251 0.686 0.640
Se 0.250 0.333 0.667
Se 0.749 0.314 0.360
Se 0.750 0.667 0.333
Se 0.749 0.640 0.954
Se 0.749 0.046 0.686
Se 0.251 0.954 0.314
Na 0.500 0.000 0.000

***

Record 9
DFT (GGA-PBE) results for Ca2ReBr after structural relaxation.

Summary:
**Uncorrected formation energy**: 480 meV per atom

Cell lengths 6.022, 6.022, 6.022 Å; angles 144.90, 113.60, 77.38 degrees
Fractional positions:
Br 0.250 0.750 0.500
Re 0.750 0.250 0.500
Ca 0.491 0.491 0.000
Ca 0.009 0.009 0.000

***

Record 10
DFT (GGA-PBE) results for NiBPt2 after structural relaxation.

Summary:
**ΔH_f (0 K)**: -50 meV per atom

Cell lengths 6.585, 6.585, 5.259 Å; angles 51.24, 51.24, 90.00 degrees
Fractional positions:
Ni 0.000 0.000 0.000
Ni 0.750 0.250 0.500
Pt 0.540 0.125 0.250
Pt 0.375 0.460 0.750
Pt 0.875 0.790 0.750
Pt 0.210 0.625 0.250
B 0.500 0.500 0.000
B 0.250 0.750 0.500

***

Record 11
DFT (GGA-PBE) results for Tl2CrMo after structural relaxation.

Summary:
**ΔH_f (0 K)**: 808 meV per atom

Cell lengths 4.331, 4.358, 4.155 Å; angles 90.00, 90.00, 90.00 degrees
Fractional positions:
Mo 0.000 0.500 0.500
Tl 0.500 0.500 0.000
Tl 0.000 0.000 0.000
Cr 0.500 0.000 0.500

***

Record 12
DFT (GGA-PBE) results for Ca5RhO8 after structural relaxation.

Summary:
**Uncorrected formation energy**: -2056 meV per atom

Cell lengths 6.212, 6.212, 6.212 Å; angles 111.47, 105.55, 111.47 degrees
Fractional positions:
Ca 0.500 0.000 0.500
Ca 0.758 0.597 0.615
Ca 0.839 0.857 0.242
Ca 0.018 0.403 0.161
Ca 0.385 0.143 0.982
Rh 0.250 0.500 0.750
O 0.246 0.270 0.434
O 0.566 0.811 0.836
O 0.488 0.601 0.273
O 0.024 0.189 0.754
O 0.672 0.399 0.887
O 0.113 0.785 0.512
O 0.727 0.215 0.328
O 0.164 0.730 0.976

***

What is the formula in the fourth record? NbOsF3